[1]
Entry from the Alexandria database: a relaxed structure of Al2TlRh (PBE).

The space group is P4/mmm (No. 123) and the conventional cell measures 4.675, 4.675 and 3.162 Å, with angles of 90.00, 90.00 and 90.00 degrees. The inequivalent atoms are Al at (0.000, 0.500, 0.000), Tl at (0.000, 0.000, 0.500) and Rh at (0.500, 0.500, 0.500).

As for the crystal system: tetragonal.

[2]
Entry from the Alexandria database: a relaxed structure of AlTl2Rh (PBE).

The space group is Cm (No. 8) and the conventional cell measures 8.737, 3.099 and 7.459 Å, with angles of 90.00, 108.32 and 90.00 degrees. The inequivalent atoms are Al at (0.000, 0.000, 0.000), Tl at (0.178, 0.000, 0.659), Tl at (0.352, 0.000, 0.341) and Rh at (0.219, 0.500, 0.999).

As for the crystal system: monoclinic.

[3]
Entry from the Alexandria database: a relaxed structure of AlTl2Rh (PBE).

The space group is P2/m (No. 10) and the conventional cell measures 3.251, 5.139 and 4.996 Å, with angles of 90.00, 91.61 and 90.00 degrees. The inequivalent atoms are Al at (0.000, 0.000, 0.000), Tl at (0.259, 0.500, 0.254) and Rh at (0.500, 0.000, 0.500).

As for the crystal system: monoclinic.

[4]
Entry from the Alexandria database: a relaxed structure of Al2TlRh (PBE).

The space group is Pm (No. 6) and the conventional cell measures 3.540, 4.275 and 5.068 Å, with angles of 90.00, 98.86 and 90.00 degrees. The inequivalent atoms are Al at (0.000, 0.000, 0.000), Al at (0.473, 0.500, 0.890), Tl at (0.576, 0.000, 0.487) and Rh at (0.061, 0.500, 0.240).

As for the crystal system: monoclinic.

Number 1: polymorph energy (0 for the lowest one) 393 meV per atom, electronic total energy -4.266 eV per atom. Number 2: polymorph energy (0 for the lowest one) 84 meV per atom, electronic total energy -4.042 eV per atom. Number 3: polymorph energy (0 for the lowest one) 451 meV per atom, electronic total energy -3.675 eV per atom. Number 4: polymorph energy (0 for the lowest one) 220 meV per atom, electronic total energy -4.439 eV per atom.